[1]
VASP calculation (PBE) on Ac4PaAs6 after structural relaxation.

It has space group R-3c (No. 167, hexagonal axes), with a = 12.1847 Å, b = 12.1847 Å, c = 15.5151 Å, α = 90.00°, β = 90.00° and γ = 120.00°. The asymmetric unit holds Ac at (0.0000, 0.0000, 0.2500), Ac at (0.0000, 0.3742, 0.2500), Pa at (0.0000, 0.0000, 0.0000) and As at (0.0234, 0.1997, 0.3928).

Its density of states at the Fermi level is 8.8 states/eV/f.u. The value obtained for the formation energy is -1.24 eV/atom. The electronic total energy is -404.58 eV/cell.

---

[2]
VASP calculation (PBE) on Ac2PmPaAs4 after structural relaxation.

It has space group P2/m (No. 10), with a = 7.476 Å, b = 4.331 Å, c = 7.578 Å, α = 90.00°, β = 109.23° and γ = 90.00°. The asymmetric unit holds Ac at (0.000, 0.000, 0.000), Ac at (0.500, 0.500, 0.000), Pm at (0.000, 0.500, 0.500), Pa at (0.500, 0.000, 0.500), As at (0.252, 0.000, 0.726) and As at (0.267, 0.500, 0.278).

Its density of states at the Fermi level is 5.7 states/eV/f.u. The value obtained for the formation energy is -1.36 eV/atom. The electronic total energy is -51.96 eV/cell.

---

[3]
VASP calculation (PBE) on AcPr2PaAs4 after structural relaxation.

It has space group I-4m2 (No. 119), with a = 6.087 Å, b = 6.087 Å, c = 12.198 Å, α = 90.00°, β = 90.00° and γ = 90.00°. The asymmetric unit holds Ac at (0.000, 0.000, 0.000), Pr at (0.000, 0.000, 0.500), Pr at (0.000, 0.500, 0.250), Pa at (0.000, 0.500, 0.750), As at (0.000, 0.000, 0.255) and As at (0.000, 0.500, 0.514).

Its density of states at the Fermi level is 5.1 states/eV/f.u. The value obtained for the formation energy is -1.34 eV/atom. The electronic total energy is -104.94 eV/cell.